(1)
Compound: B2IrW
Source: the Open Quantum Materials Database
Functional: PBE
Structure: optimized geometry

Magnetic moment = 0.00 μB per formula unit
Raw total energy = -7.6928 eV per atom
Crystal system = cubic

Cell lengths 4.088, 4.088, 4.088 Å; angles 60.00, 60.00, 60.00 degrees
Sites, in units of the cell vectors:
B: 0.000 0.000 0.000
B: 0.250 0.250 0.250
Ir: 0.750 0.750 0.750
W: 0.500 0.500 0.500

(2)
Compound: LaTbAg2Pb2
Source: the Open Quantum Materials Database
Functional: PBE
Structure: optimized geometry

Magnetic moment = 0.00 μB per formula unit
Raw total energy = -4.2335 eV per atom
Crystal system = trigonal

Cell lengths 4.880, 4.880, 7.651 Å; angles 90.00, 90.00, 120.00 degrees
Sites, in units of the cell vectors:
La: 0.000 0.000 0.000
Tb: 0.000 0.000 0.502
Ag: 0.333 0.667 0.210
Ag: 0.667 0.333 0.684
Pb: 0.333 0.667 0.775
Pb: 0.667 0.333 0.288